Computed, not measured: a geometry-optimized Ca3SmDy2Se6 structure at the PBE level of DFT.

Cell and atoms, written as CIF:
```
data_Ca3SmDy2Se6
_chemical_formula_sum 'Ca6 Sm2 Dy4 Se12'
_cell_length_a 7.1487
_cell_length_b 12.3674
_cell_length_c 7.2630
_cell_angle_alpha 90.00
_cell_angle_beta 109.19
_cell_angle_gamma 90.00
_symmetry_space_group_name_H-M 'C 1 2/m 1'
_symmetry_Int_Tables_number 12
loop_
_symmetry_equiv_pos_as_xyz
'x,y,z'
'-x,-y,-z'
'-x,y,-z'
'x,-y,z'
'x+1/2,y+1/2,z'
'-x+1/2,-y+1/2,-z'
'-x+1/2,y+1/2,-z'
'x+1/2,-y+1/2,z'
loop_
_atom_site_label
_atom_site_fract_x
_atom_site_fract_y
_atom_site_fract_z
Ca1 0.0000 0.0000 0.0000
Ca2 0.0000 0.3349 0.0000
Sm1 0.0000 0.5000 0.5000
Dy1 0.0000 0.1671 0.5000
Se1 0.2436 0.0000 0.7473
Se2 0.2479 0.1694 0.2519
```



Computed, not measured: a geometry-optimized CaSm3Dy2Se6 structure at the PBE level of DFT.

Cell and atoms, written as CIF:
```
data_CaSm3Dy2Se6
_chemical_formula_sum 'Ca2 Sm6 Dy4 Se12'
_cell_length_a 7.1329
_cell_length_b 12.3692
_cell_length_c 7.2240
_cell_angle_alpha 90.00
_cell_angle_beta 109.14
_cell_angle_gamma 90.00
_symmetry_space_group_name_H-M 'C 1 2/m 1'
_symmetry_Int_Tables_number 12
loop_
_symmetry_equiv_pos_as_xyz
'x,y,z'
'-x,-y,-z'
'-x,y,-z'
'x,-y,z'
'x+1/2,y+1/2,z'
'-x+1/2,-y+1/2,-z'
'-x+1/2,y+1/2,-z'
'x+1/2,-y+1/2,z'
loop_
_atom_site_label
_atom_site_fract_x
_atom_site_fract_y
_atom_site_fract_z
Ca1 0.0000 0.0000 0.0000
Sm1 0.0000 0.1646 0.5000
Sm2 0.0000 0.5000 0.5000
Dy1 0.0000 0.3329 0.0000
Se1 0.2453 0.5000 0.2387
Se2 0.2482 0.1673 0.2430
```



Computed, not measured: a geometry-optimized CaSm3Dy4Se8 structure at the PBE level of DFT.

Cell and atoms, written as CIF:
```
data_CaSm3Dy4Se8
_chemical_formula_sum 'Ca3 Sm9 Dy12 Se24'
_cell_length_a 8.2502
_cell_length_b 8.2502
_cell_length_c 20.2117
_cell_angle_alpha 90.00
_cell_angle_beta 90.00
_cell_angle_gamma 120.00
_symmetry_space_group_name_H-M 'R -3 m'
_symmetry_Int_Tables_number 166
_symmetry_space_group_name_Hall '-R 3 2"'
loop_
_atom_site_label
_atom_site_fract_x
_atom_site_fract_y
_atom_site_fract_z
Ca1 0.0000 0.0000 0.0000
Sm1 0.0000 0.5000 0.0000
Dy1 0.0000 0.0000 0.5000
Dy2 0.0000 0.5000 0.5000
Se1 0.0000 0.0000 0.2469
Se2 0.0029 0.5015 0.7523
```



Computed, not measured: a geometry-optimized SrCa2DySe4 structure at the PBE level of DFT.

Cell and atoms, written as CIF:
```
data_SrCa2DySe4
_chemical_formula_sum 'Sr1 Ca2 Dy1 Se4'
_cell_length_a 7.3048
_cell_length_b 4.2136
_cell_length_c 7.3497
_cell_angle_alpha 90.00
_cell_angle_beta 109.31
_cell_angle_gamma 90.00
_symmetry_space_group_name_H-M 'P 1 2/m 1'
_symmetry_Int_Tables_number 10
loop_
_symmetry_equiv_pos_as_xyz
'x,y,z'
'-x,-y,-z'
'-x,y,-z'
'x,-y,z'
loop_
_atom_site_label
_atom_site_fract_x
_atom_site_fract_y
_atom_site_fract_z
Sr1 0.0000 0.0000 0.0000
Ca1 0.5000 0.0000 0.5000
Ca2 0.5000 0.5000 0.0000
Dy1 0.0000 0.5000 0.5000
Se1 0.2483 0.0000 0.7392
Se2 0.2552 0.5000 0.2634
```



Computed, not measured: a geometry-optimized Sr2CaDySe4 structure at the PBE level of DFT.

Cell and atoms, written as CIF:
```
data_Sr2CaDySe4
_chemical_formula_sum 'Sr2 Ca1 Dy1 Se4'
_cell_length_a 7.4005
_cell_length_b 4.2613
_cell_length_c 7.4525
_cell_angle_alpha 90.00
_cell_angle_beta 109.24
_cell_angle_gamma 90.00
_symmetry_space_group_name_H-M 'P 1 2/m 1'
_symmetry_Int_Tables_number 10
loop_
_symmetry_equiv_pos_as_xyz
'x,y,z'
'-x,-y,-z'
'-x,y,-z'
'x,-y,z'
loop_
_atom_site_label
_atom_site_fract_x
_atom_site_fract_y
_atom_site_fract_z
Sr1 0.0000 0.0000 0.0000
Sr2 0.5000 0.5000 0.0000
Ca1 0.0000 0.5000 0.5000
Dy1 0.5000 0.0000 0.5000
Se1 0.2491 0.0000 0.7324
Se2 0.2605 0.5000 0.2694
```



Computed, not measured: a geometry-optimized Ca3Tb2DySe6 structure at the PBE level of DFT.

Cell and atoms, written as CIF:
```
data_Ca3Tb2DySe6
_chemical_formula_sum 'Ca6 Tb4 Dy2 Se12'
_cell_length_a 7.1288
_cell_length_b 12.3338
_cell_length_c 7.2463
_cell_angle_alpha 90.00
_cell_angle_beta 109.17
_cell_angle_gamma 90.00
_symmetry_space_group_name_H-M 'C 1 2/m 1'
_symmetry_Int_Tables_number 12
loop_
_symmetry_equiv_pos_as_xyz
'x,y,z'
'-x,-y,-z'
'-x,y,-z'
'x,-y,z'
'x+1/2,y+1/2,z'
'-x+1/2,-y+1/2,-z'
'-x+1/2,y+1/2,-z'
'x+1/2,-y+1/2,z'
loop_
_atom_site_label
_atom_site_fract_x
_atom_site_fract_y
_atom_site_fract_z
Ca1 0.0000 0.0000 0.0000
Ca2 0.0000 0.3329 0.0000
Tb1 0.0000 0.1664 0.5000
Dy1 0.0000 0.5000 0.5000
Se1 0.2481 0.3339 0.7464
Se2 0.2502 0.0000 0.7467
```



no.,E (eV per cell),formation energy without anion corrections (eV per atom)
1,-126.83,-1.882
2,-136.24,-1.821
3,-273.73,-1.800
4,-39.71,-1.936
5,-39.55,-1.956
6,-126.67,-1.880